A plane-wave DFT calculation with GGA+U was carried out for a relaxed structure of In2CoSbO6.

Unit cell a=5.817 b=5.817 c=5.817 alpha=56.61 beta=56.61 gamma=56.61
Sites, in units of the cell vectors:
In 0.000 0.000 0.000
In 0.499 0.499 0.499
Co 0.216 0.216 0.216
Sb 0.712 0.712 0.712
O 0.094 0.417 0.821
O 0.325 0.913 0.598
O 0.417 0.821 0.094
O 0.598 0.325 0.913
O 0.821 0.094 0.417
O 0.913 0.598 0.325

Calculated values
Total magnetic moment: 2.48 μB per formula unit
ρ: 6.55 Mg/m³
Symmetry: R3
Crystal system: trigonal
E: -57.7 eV per formula unit
D(E_F): 2.7 states/eV/f.u.